No. 1
Below is a relaxed structure of LaTh5Pt6, with properties calculated at the PBE level.

Energy relative to the elements, eV per atom: -1.197
Space-group type: C2/m, No. 12
Total magnetization, μB/atom: 0.000
DFT total energy, eV per atom: -7.7200
Density, g/cm3: 12.983
Crystal system: monoclinic

Lattice parameters (Å, degrees): 7.2919 7.2919 7.2734 99.55 99.55 120.03
Last column: nearest neighbours and their distance in Å.
Element x y z (fractional)
Pt1 0.2545 0.2545 0.7461  5 Th 2.92-2.98, 1 La 3.02
Pt2 0.9154 0.5764 0.7468  5 Th 2.93-2.98, 1 La 3.02
Pt3 0.7455 0.7455 0.2539  5 Th 2.92-2.98, 1 La 3.02
Pt4 0.4236 0.0846 0.2532  5 Th 2.93-2.98, 1 La 3.02
Pt5 0.5764 0.9154 0.7468  5 Th 2.93-2.98, 1 La 3.02
Pt6 0.0846 0.4236 0.2532  5 Th 2.93-2.98, 1 La 3.02
Th1 0.3332 0.6668 0.0000  6 Pt 2.97-2.98
Th2 0.8332 0.1668 0.5000  6 Pt 2.93-2.98
Th3 0.6668 0.3332 0.0000  6 Pt 2.97-2.98
Th4 0.1668 0.8332 0.5000  6 Pt 2.93-2.98
Th5 0.5000 0.5000 0.5000  6 Pt 2.92-2.98
La1 0.0000 0.0000 0.0000  6 Pt 3.02

No. 2
Below is a relaxed structure of SrScV2Hg, with properties calculated at the PBE level.

Energy relative to the elements, eV per atom: 1.928
Space-group type: P4/mmm, No. 123
Total magnetization, μB/atom: 0.981
DFT total energy, eV per atom: -3.3829
Density, g/cm3: 5.785
Crystal system: tetragonal

Lattice parameters (Å, degrees): 4.9177 5.1640 4.9177 90.00 90.00 90.00
Last column: nearest neighbours and their distance in Å.
Element x y z (fractional)
Sr1 0.0000 0.0000 0.0000  4 V 2.46, 2 Sc 2.58
V1 0.5000 0.0000 0.0000  2 Sr 2.46
V2 0.0000 0.0000 0.5000  2 Sr 2.46
Hg1 0.5000 0.5000 0.5000  4 Sc 3.48, 8 V 3.57
Sc1 0.0000 0.5000 0.0000  2 Sr 2.58

No. 3
Below is a relaxed structure of AlP2Rh, with properties calculated at the PBE level.

Energy relative to the elements, eV per atom: -0.245
Space-group type: P2/m, No. 10
Total magnetization, μB/atom: 0.000
DFT total energy, eV per atom: -5.7236
Density, g/cm3: 5.039
Crystal system: monoclinic

Lattice parameters (Å, degrees): 4.0489 4.0498 3.8586 87.58 90.00 90.00
Last column: nearest neighbours and their distance in Å.
Element x y z (fractional)
P1 0.0000 0.9786 0.0909  1 P 2.18, 2 Rh 2.40
P2 0.0000 0.5214 0.4091  1 P 2.18, 2 Rh 2.40
Al1 0.5000 0.7500 0.7500  4 P 2.61, 4 Rh 2.74-2.86
Rh1 0.5000 0.2500 0.2500  4 P 2.40